Record 1
Entry from Alexandria: a relaxed structure of Sc2FeCo (PBE).

DFT formation energy (eV/atom): -0.1859
Fermi-level density of states (states/eV per cell): 4.83
Raw total energy (eV/atom): -7.24
Space-group type: No. 123

Unit cell a=3.101 b=4.422 c=4.422 alpha=90.00 beta=90.00 gamma=90.00
Positions (direct):
Sc 0.000 0.500 0.000
Sc 0.000 0.000 0.500
Fe 0.500 0.000 0.000
Co 0.500 0.500 0.500

Record 2
Entry from Alexandria: a relaxed structure of Sc2FeCo (PBE).

DFT formation energy (eV/atom): 0.1614
Fermi-level density of states (states/eV per cell): 4.39
Raw total energy (eV/atom): -6.90
Space-group type: No. 12

Unit cell a=4.211 b=4.211 c=5.641 alpha=82.98 beta=82.98 gamma=40.64
Positions (direct):
Sc 0.497 0.497 0.503
Sc 0.003 0.003 0.997
Co 0.750 0.750 0.750
Fe 0.250 0.250 0.250

Record 3
Entry from Alexandria: a relaxed structure of ScFeCo2 (PBE).

DFT formation energy (eV/atom): 0.0441
Fermi-level density of states (states/eV per cell): 3.72
Raw total energy (eV/atom): -7.21
Space-group type: No. 12

Unit cell a=4.783 b=4.783 c=2.710 alpha=79.02 beta=79.02 gamma=114.81
Positions (direct):
Co 0.500 0.500 0.000
Co 0.000 0.000 0.000
Sc 0.000 0.500 0.500
Fe 0.500 0.000 0.500